## Nb3CrN (GGA-PBE)

Data for a geometry-optimized Nb3CrN structure.

Space group: Pm-3m
Raw total energy: -39.1 eV/cell

POSCAR file:
```
Nb3CrN
1.0
-1.829 -0.705 4.111
-2.924 -2.984 -1.813
2.974 -3.368 0.746
Cr Nb N
1 3 1
Direct
0.000 0.000 0.000 Cr
0.500 0.000 0.000 Nb
0.000 0.500 0.000 Nb
0.000 0.000 0.500 Nb
0.500 0.500 0.500 N
```



## Nb2CrN (GGA-PBE)

Data for a geometry-optimized Nb2CrN structure.

Space group: Fm-3m
Raw total energy: -35.0 eV/cell

POSCAR file:
```
Nb2CrN
1.0
3.479 -0.359 2.398
0.593 2.619 3.282
-0.301 -1.470 3.966
Nb Cr N
2 1 1
Direct
0.250 0.250 0.250 Nb
0.750 0.750 0.750 Nb
0.500 0.500 0.500 Cr
0.000 0.000 0.000 N
```



## NbCrN (GGA-PBE)

Data for a geometry-optimized NbCrN structure.

Space group: I4mm
Raw total energy: -28.2 eV/cell

POSCAR file:
```
NbCrN
1.0
2.639 0.000 0.000
0.000 2.639 0.000
-1.320 -1.320 4.868
Cr Nb N
1 1 1
Direct
0.286 0.286 0.572 Cr
0.016 0.016 0.031 Nb
0.698 0.698 0.396 N
```



## Nb3Cr2N6 (GGA-PBE)

Data for a geometry-optimized Nb3Cr2N6 structure.

Space group: P-1
Raw total energy: -104.0 eV/cell

POSCAR file:
```
Nb3Cr2N6
1.0
-2.002 1.663 -2.829
-3.053 -1.488 1.286
1.867 6.106 6.383
Cr Nb N
2 3 6
Direct
0.715 0.620 0.239 Cr
0.285 0.380 0.761 Cr
0.686 0.831 0.663 Nb
0.314 0.169 0.337 Nb
0.000 0.000 0.000 Nb
0.324 0.915 0.831 N
0.840 0.412 0.824 N
0.676 0.085 0.169 N
0.160 0.588 0.176 N
0.719 0.720 0.440 N
0.281 0.280 0.560 N
```



no.,raw formation energy (eV per atom)
1,1.812
2,0.761
3,-0.046
4,-0.418